Below is a relaxed Ag2GeBiSe4 crystal, with properties calculated at the GGA-PBE level.

Cell: 7.182 6.998 9.313 Å, 90.00 90.00 90.00°
Fractional positions:
Ag 0.504 0.317 0.753
Ag 0.004 0.683 0.747
Ag 0.504 0.317 0.247
Ag 0.004 0.683 0.253
Se 0.873 0.322 0.775
Se 0.350 0.188 0.000
Se 0.373 0.678 0.275
Se 0.904 0.837 0.000
Se 0.873 0.322 0.225
Se 0.404 0.163 0.500
Se 0.373 0.678 0.725
Se 0.850 0.812 0.500
Ge 0.996 0.176 0.000
Ge 0.496 0.824 0.500
Bi 0.495 0.821 0.000
Bi 0.995 0.179 0.500

Output
As for the density of states at the Fermi level: 0.3704 states/eV per atom. The value obtained for the formation energy without anion corrections is -171 meV per atom. The total magnetic moment comes out at 0.00 μB/f.u. Its electronic total energy is -3.688 eV/atom.

Below is a relaxed TlAgGe2Bi crystal, with properties calculated at the GGA-PBE level.

Cell: 5.561 6.168 5.561 Å, 90.00 90.00 90.00°
Fractional positions:
Ag 0.500 0.500 0.500
Bi 0.000 0.000 0.000
Ge 0.500 0.000 0.000
Ge 0.000 0.000 0.500
Tl 0.000 0.500 0.000

Output
As for the density of states at the Fermi level: 0.7182 states/eV per atom. The formation energy from the elements is 0.96 eV/atom. The total magnetic moment comes out at 0.00 μB/f.u. Its electronic total energy is -2.709 eV/atom.

Below is a relaxed ZnAgGeBi2 crystal, with properties calculated at the GGA-PBE level.

Cell: 5.558 4.784 5.558 Å, 90.00 90.00 90.00°
Fractional positions:
Ag 0.000 0.000 0.000
Bi 0.000 0.000 0.500
Bi 0.500 0.000 0.000
Zn 0.000 0.500 0.000
Ge 0.500 0.500 0.500

Output
As for the density of states at the Fermi level: 0.7695 states/eV per atom. The formation energy from the elements is 0.59 eV/atom. The total magnetic moment comes out at 0.00 μB/f.u. Its electronic total energy is -2.711 eV/atom.

Below is a relaxed AgBi2H crystal, with properties calculated at the GGA-PBE level.

Cell: 7.173 7.173 6.106 Å, 54.03 54.03 90.00°
Fractional positions:
H 0.500 0.500 0.000
H 0.250 0.750 0.500
Ag 0.750 0.250 0.500
Ag 0.000 0.000 0.000
Bi 0.542 0.125 0.250
Bi 0.375 0.458 0.750
Bi 0.208 0.625 0.250
Bi 0.875 0.792 0.750

Output
As for the density of states at the Fermi level: 0.2626 states/eV per atom. The total magnetic moment comes out at 0.00 μB/f.u. Its electronic total energy is -3.129 eV/atom. As for the distance to the lowest polymorph of the same formula: 0 meV/atom.

Below is a relaxed AgBiH3 crystal, with properties calculated at the GGA-PBE level.

Cell: 3.931 3.931 3.931 Å, 90.00 90.00 90.00°
Fractional positions:
H 0.000 0.500 0.000
H 0.000 0.000 0.500
H 0.500 0.000 0.000
Bi 0.500 0.500 0.500
Ag 0.000 0.000 0.000

Output
As for the density of states at the Fermi level: 0.3133 states/eV per atom. The total magnetic moment comes out at 0.00 μB/f.u. Its electronic total energy is -2.696 eV/atom. As for the distance to the lowest polymorph of the same formula: 0 meV/atom.

Below is a relaxed Ag2Bi2H crystal, with properties calculated at the GGA-PBE level.

Cell: 8.844 8.844 3.216 Å, 90.00 90.00 90.00°
Site moments in Bohr magnetons follow the coordinates.
Fractional positions:
Ag 0.150 0.350 0.000  0.01
Ag 0.650 0.150 0.000  0.01
Ag 0.850 0.650 0.000  0.01
Ag 0.350 0.850 0.000  0.01
Bi 0.353 0.147 0.500  0.02
Bi 0.853 0.353 0.500  0.03
Bi 0.647 0.853 0.500  0.02
Bi 0.147 0.647 0.500  0.03
H 0.500 0.500 0.000  0.30
H 0.000 0.000 0.000  0.30

Output
As for the density of states at the Fermi level: 0.2767 states/eV per atom. The total magnetic moment comes out at 0.81 μB/f.u. Its electronic total energy is -2.785 eV/atom. As for the distance to the lowest polymorph of the same formula: 67 meV/atom.

What is the total magnetic moment in the third record? 0.00 μB/f.u.

Which formula does entry 3 have? ZnAgGeBi2

density of states at the Fermi level of number 5 (AgBiH3)? 0.3133 states/eV per atom

Look up the density of states at the Fermi level of the third one. 0.7695 states/eV per atom